First-principles (PBE) data for a geometry-optimized CuHPd3 structure, as listed in Alexandria via LeMat-Bulk.

The structure in CIF format:
```
data_CuHPd3
_chemical_formula_sum 'Cu4 H4 Pd12'
_space_group_name_H-M_alt 'P 1'
_space_group_IT_number 1
_cell_length_a 7.366
_cell_length_b 7.366
_cell_length_c 7.366
_cell_angle_alpha 60.00
_cell_angle_beta 60.00
_cell_angle_gamma 60.00
loop_
_space_group_symop_operation_xyz
'x,y,z'
loop_
_atom_site_label
_atom_site_type_symbol
_atom_site_fract_x
_atom_site_fract_y
_atom_site_fract_z
Cu1 Cu 0.000 0.000 0.000
Cu2 Cu 0.000 0.000 0.500
Cu3 Cu 0.000 0.500 0.000
Cu4 Cu 0.500 0.000 0.000
H1 H 0.000 0.500 0.500
H2 H 0.500 0.000 0.500
H3 H 0.500 0.500 0.000
H4 H 0.500 0.500 0.500
Pd1 Pd 0.180 0.180 0.570
Pd2 Pd 0.180 0.570 0.180
Pd3 Pd 0.180 0.570 0.570
Pd4 Pd 0.430 0.430 0.820
Pd5 Pd 0.430 0.820 0.430
Pd6 Pd 0.430 0.820 0.820
Pd7 Pd 0.570 0.180 0.180
Pd8 Pd 0.570 0.180 0.570
Pd9 Pd 0.570 0.570 0.180
Pd10 Pd 0.820 0.430 0.430
Pd11 Pd 0.820 0.430 0.820
Pd12 Pd 0.820 0.820 0.430
```

Mass density, g/cm3: 9.02
Energy relative to the lowest polymorph listed for this composition, meV/atom: 234
Space-group type: Fd-3m
Energy, eV/atom: -4.4524